Density functional theory data (GGA-PBE) for a relaxed structure of CsGaBiO4.

Results
uncorrected energy	-5.31	eV per atom
density	5.7	Mg/m³
formation energy (no corrections)	-1.372	eV per atom

The structure in POSCAR format:
```
CsGaBiO4
1.0
5.8396 0.0000 0.0000
0.0000 6.0835 0.0000
-1.4034 0.0000 7.7349
Cs Ga Bi O
2 2 2 8
Direct
0.1979 0.2500 0.0900
0.8021 0.7500 0.9100
0.3655 0.2500 0.6522
0.6345 0.7500 0.3478
0.1829 0.7500 0.4702
0.8171 0.2500 0.5298
0.1423 0.0234 0.6620
0.1423 0.4766 0.6620
0.3331 0.7500 0.2221
0.4428 0.2500 0.4321
0.5572 0.7500 0.5679
0.6669 0.2500 0.7779
0.8577 0.5234 0.3380
0.8577 0.9766 0.3380
```